Record 1
Rb2ZnCd6Ag | PBE | relaxed

Mass density: 5.51 g/cm³
N(E_F): 0.34 states/eV per atom
Total magnetic moment: 0.00 Bohr magnetons per cell
VASP energy: -1.18 eV/atom
E_form: -0.21 eV per formula unit

Cell and atoms, written as CIF:
```
data_Rb2ZnCd6Ag
_cell_length_a 7.368
_cell_length_b 7.407
_cell_length_c 7.737
_cell_angle_alpha 61.88
_cell_angle_beta 61.71
_cell_angle_gamma 60.34
_space_group_name_H-M_alt 'P -1'
_space_group_IT_number 2
loop_
_space_group_symop_operation_xyz
'x,y,z'
'-x,-y,-z'
loop_
_atom_site_label
_atom_site_fract_x
_atom_site_fract_y
_atom_site_fract_z
Rb1 0.200 0.202 0.395
Zn1 0.000 0.000 0.000
Cd1 0.244 0.249 0.852
Cd2 0.252 0.652 0.855
Cd3 0.348 0.759 0.144
Ag1 0.500 0.500 0.500
```

---

Record 2
RbZn2CdAg | PBE | relaxed

Mass density: 5.01 g/cm³
N(E_F): 0.49 states/eV per atom
Total magnetic moment: 0.00 Bohr magnetons per cell
VASP energy: -1.34 eV/atom
E_form: 0.60 eV per formula unit

Cell and atoms, written as CIF:
```
data_RbZn2CdAg
_cell_length_a 5.149
_cell_length_b 5.149
_cell_length_c 5.462
_cell_angle_alpha 90.00
_cell_angle_beta 90.00
_cell_angle_gamma 90.00
_space_group_name_H-M_alt 'P 4/m m m'
_space_group_IT_number 123
_space_group_name_Hall '-P 4 2'
loop_
_atom_site_label
_atom_site_fract_x
_atom_site_fract_y
_atom_site_fract_z
Rb1 0.000 0.000 0.000
Zn1 0.000 0.500 0.500
Cd1 0.500 0.500 0.000
Ag1 0.500 0.500 0.500
```

---

Record 3
CdReAg2 | PBE | relaxed

Mass density: 12.31 g/cm³
N(E_F): 0.74 states/eV per atom
Total magnetic moment: 0.00 Bohr magnetons per cell
VASP energy: -4.37 eV/atom
E_form: 1.59 eV per formula unit

Cell and atoms, written as CIF:
```
data_CdReAg2
_cell_length_a 2.8646
_cell_length_b 2.8646
_cell_length_c 29.2983
_cell_angle_alpha 90.00
_cell_angle_beta 90.00
_cell_angle_gamma 120.00
_space_group_name_H-M_alt 'R 3 m'
_space_group_IT_number 160
_space_group_name_Hall 'R 3 -2"'
loop_
_atom_site_label
_atom_site_fract_x
_atom_site_fract_y
_atom_site_fract_z
Cd1 0.0000 0.0000 0.0000
Re1 0.0000 0.0000 0.7500
Ag1 0.0000 0.0000 0.2463
Ag2 0.0000 0.0000 0.4969
```

---

Record 4
CdReAg4 | PBE | relaxed

Mass density: 10.80 g/cm³
N(E_F): 0.47 states/eV per atom
Total magnetic moment: 11.14 Bohr magnetons per cell
VASP energy: -3.39 eV/atom
E_form: 4.41 eV per formula unit

Cell and atoms, written as CIF:
```
data_CdReAg4
_cell_length_a 7.657
_cell_length_b 7.657
_cell_length_c 7.657
_cell_angle_alpha 90.00
_cell_angle_beta 90.00
_cell_angle_gamma 90.00
_space_group_name_H-M_alt 'F -4 3 m'
_space_group_IT_number 216
_space_group_name_Hall 'F -4 2 3'
loop_
_atom_site_label
_atom_site_fract_x
_atom_site_fract_y
_atom_site_fract_z
Cd1 0.000 0.000 0.000
Re1 0.250 0.250 0.750
Ag1 0.125 0.125 0.375
```